1.
Ag2RuSe: optimized geometry, PBE-GGA.

Summary:
Symmetry: I-4m2

a = 4.9088 Å, b = 4.9088 Å, c = 4.9088 Å
α = 129.75°, β = 129.75°, γ = 73.81°
Last column: nearest neighbours and their distance in Å.
Fractional positions:
Ag 0.0000 0.0000 0.0000  4 Se 2.86, 4 Ag 2.86, 4 Ru 2.95
Ag 0.2500 0.7500 0.5000  4 Ru 2.86, 4 Ag 2.86, 4 Se 2.95
Ru 0.5000 0.5000 0.0000  8 Ag 2.86-2.95, 4 Se 2.86
Se 0.7500 0.2500 0.5000  4 Ru 2.86, 8 Ag 2.86-2.95



2.
Ag4RuSe2: optimized geometry, PBE-GGA.

Summary:
Symmetry: I4/mmm

a = 5.0328 Å, b = 5.0328 Å, c = 7.7093 Å
α = 70.95°, β = 70.95°, γ = 90.00°
Last column: nearest neighbours and their distance in Å.
Fractional positions:
Ru 0.0000 0.0000 0.0000  6 Ag 2.52-2.68
Se 0.6195 0.6195 0.7610  1 Ag 2.53
Se 0.3805 0.3805 0.2390  1 Ag 2.53
Ag 0.8042 0.8042 0.3915  1 Se 2.53, 1 Ru 2.68
Ag 0.1958 0.1958 0.6085  1 Se 2.53, 1 Ru 2.68
Ag 0.0000 0.5000 0.0000  2 Ru 2.52
Ag 0.5000 0.0000 0.0000  2 Ru 2.52



3.
AgRu2Se: optimized geometry, PBE-GGA.

Summary:
Symmetry: P4mm

a = 2.8771 Å, b = 2.8771 Å, c = 8.0612 Å
α = 90.00°, β = 90.00°, γ = 90.00°
Last column: nearest neighbours and their distance in Å.
Fractional positions:
Ag 0.5000 0.5000 0.7761  4 Ag 2.88, 4 Ru 2.90
Ru 0.0000 0.0000 0.0327  8 Ru 2.64-2.88, 4 Ag 2.90
Ru 0.5000 0.5000 0.2406  8 Ru 2.64-2.88, 4 Se 2.65
Se 0.0000 0.0000 0.4507  4 Ru 2.65, 4 Se 2.88



4.
AgRu2Se: optimized geometry, PBE-GGA.

Summary:
Symmetry: F-43m

a = 4.4807 Å, b = 4.4807 Å, c = 4.4807 Å
α = 60.00°, β = 60.00°, γ = 60.00°
Last column: nearest neighbours and their distance in Å.
Fractional positions:
Ag 0.5000 0.5000 0.5000  4 Se 2.74, 4 Ru 2.74
Ru 0.0000 0.0000 0.0000  4 Ru 2.74, 4 Se 2.74
Ru 0.2500 0.2500 0.2500  4 Ag 2.74, 4 Ru 2.74
Se 0.7500 0.7500 0.7500  4 Ag 2.74, 4 Ru 2.74



5.
Ag2Ru2Se: optimized geometry, PBE-GGA.

Summary:
Symmetry: P4/mbm

a = 8.2242 Å, b = 8.2242 Å, c = 2.7387 Å
α = 90.00°, β = 90.00°, γ = 90.00°
Last column: nearest neighbours and their distance in Å.
Fractional positions:
Ru 0.1019 0.6019 0.5000  1 Ru 2.37
Ru 0.6019 0.8981 0.5000  1 Ru 2.37
Ru 0.8981 0.3981 0.5000  1 Ru 2.37
Ru 0.3981 0.1019 0.5000  1 Ru 2.37
Se 0.0000 0.0000 0.0000  2 Se 2.74, 4 Ag 2.99
Se 0.5000 0.5000 0.0000  2 Se 2.74, 4 Ag 2.99
Ag 0.3097 0.8097 0.0000  2 Ag 2.74, 6 Ru 2.78-2.86, 2 Se 2.99
Ag 0.8097 0.6903 0.0000  2 Ag 2.74, 6 Ru 2.78-2.86, 2 Se 2.99
Ag 0.6903 0.1903 0.0000  2 Ag 2.74, 6 Ru 2.78-2.86, 2 Se 2.99
Ag 0.1903 0.3097 0.0000  2 Ag 2.74, 6 Ru 2.78-2.86, 2 Se 2.99



6.
Ag2Ru2Se: optimized geometry, PBE-GGA.

Summary:
Symmetry: I4/mmm

a = 3.4650 Å, b = 3.4650 Å, c = 8.1674 Å
α = 77.75°, β = 77.75°, γ = 90.00°
Last column: nearest neighbours and their distance in Å.
Fractional positions:
Ru 0.7500 0.2500 0.5000  4 Ru 2.45
Ru 0.2500 0.7500 0.5000  4 Ru 2.45
Se 0.0000 0.0000 0.0000  8 Ag 2.91
Ag 0.3998 0.3998 0.2004  4 Se 2.91, 4 Ru 2.91, 1 Ag 3.12
Ag 0.6002 0.6002 0.7996  4 Se 2.91, 4 Ru 2.91, 1 Ag 3.12



7.
AgRu2Se: optimized geometry, PBE-GGA.

Summary:
Symmetry: P4/mmm

a = 3.0300 Å, b = 3.0300 Å, c = 6.7176 Å
α = 90.00°, β = 90.00°, γ = 90.00°
Last column: nearest neighbours and their distance in Å.
Fractional positions:
Ag 0.5000 0.5000 0.7500  8 Ru 2.87, 4 Ag 3.03
Ru 0.0000 0.0000 0.0337  4 Se 2.59, 4 Ag 2.87
Ru 0.0000 0.0000 0.4663  4 Se 2.59, 4 Ag 2.87
Se 0.5000 0.5000 0.2500  8 Ru 2.59



8.
Ag2RuSe: optimized geometry, PBE-GGA.

Summary:
Symmetry: Pmmm

a = 2.8231 Å, b = 4.5284 Å, c = 5.5130 Å
α = 90.00°, β = 90.00°, γ = 90.00°
Last column: nearest neighbours and their distance in Å.
Fractional positions:
Ag 0.0000 0.0000 0.0086  4 Ag 2.66-2.85
Ag 0.0000 0.0000 0.4914  4 Ag 2.66-2.85
Ru 0.5000 0.5000 0.2500  2 Se 2.76, 2 Ru 2.82, 8 Ag 2.98
Se 0.5000 0.5000 0.7500  2 Ru 2.76, 2 Se 2.82, 8 Ag 3.03



9.
AgRu2Se: optimized geometry, PBE-GGA.

Summary:
Symmetry: R-3m

a = 8.5451 Å, b = 8.5451 Å, c = 8.5451 Å
α = 19.85°, β = 19.85°, γ = 19.85°
Last column: nearest neighbours and their distance in Å.
Fractional positions:
Ag 0.7500 0.7500 0.7500  6 Ru 2.89, 6 Ag 2.95
Ru 0.9903 0.9903 0.9903  3 Se 2.51
Ru 0.5097 0.5097 0.5097  3 Se 2.51
Se 0.2500 0.2500 0.2500  6 Ru 2.51



10.
AgSnRu2Se: optimized geometry, PBE-GGA.

Summary:
Symmetry: P4/mmm

a = 4.9490 Å, b = 5.0479 Å, c = 4.9490 Å
α = 90.00°, β = 90.00°, γ = 90.00°
Last column: nearest neighbours and their distance in Å.
Fractional positions:
Ru 0.0000 0.0000 0.5000  2 Sn 2.47
Ru 0.5000 0.0000 0.0000  2 Sn 2.47
Se 0.5000 0.5000 0.5000  4 Ag 3.50, 8 Ru 3.53
Sn 0.0000 0.0000 0.0000  4 Ru 2.47, 2 Ag 2.52
Ag 0.0000 0.5000 0.0000  2 Sn 2.52



11.
Tc2AgRuSe: optimized geometry, PBE-GGA.

Summary:
Symmetry: P4/mmm

a = 4.5362 Å, b = 4.7151 Å, c = 4.5362 Å
α = 90.00°, β = 90.00°, γ = 90.00°
Last column: nearest neighbours and their distance in Å.
Fractional positions:
Ru 0.5000 0.5000 0.5000  4 Ag 3.21, 8 Tc 3.27
Se 0.0000 0.0000 0.0000  4 Tc 2.27, 2 Ag 2.36
Tc 0.0000 0.0000 0.5000  2 Se 2.27
Tc 0.5000 0.0000 0.0000  2 Se 2.27
Ag 0.0000 0.5000 0.0000  2 Se 2.36



12.
TcAg2RuSe: optimized geometry, PBE-GGA.

Summary:
Symmetry: P4/mmm

a = 4.7834 Å, b = 4.6438 Å, c = 4.7834 Å
α = 90.00°, β = 90.00°, γ = 90.00°
Last column: nearest neighbours and their distance in Å.
Fractional positions:
Ru 0.5000 0.5000 0.5000  8 Ag 3.33, 4 Tc 3.38
Se 0.0000 0.0000 0.0000  2 Tc 2.32, 4 Ag 2.39
Tc 0.0000 0.5000 0.0000  2 Se 2.32
Ag 0.0000 0.0000 0.5000  2 Se 2.39
Ag 0.5000 0.0000 0.0000  2 Se 2.39



In the order shown, the computed VASP energy values come out to -4.107; -3.138; -5.931; -5.572; -4.720; -4.879; -5.811; -4.122; -5.821; -4.320; -5.797; -4.407 eV/atom.